! TaSb | OQMD | PBE-GGA | optimized geometry; values from VASP
&SYSTEM
  ibrav = 0, nat = 2, ntyp = 2
/
ATOMIC_SPECIES
Sb 121.76 Sb.upf
Ta 180.95 Ta.upf
CELL_PARAMETERS angstrom
-2.758 1.802 1.413
-0.275 -1.411 -3.284
-1.343 -3.233 1.501
ATOMIC_POSITIONS angstrom
Sb -2.937 -1.694 0.974
Ta -1.438 -1.148 -1.343
! Total energy (eV/cell): -15.857
! Calculated volume (A^3/atom): 21.19
! Spin magnetization (μB/cell): 0.00



! Ta2Sb | OQMD | PBE-GGA | optimized geometry; values from VASP
&SYSTEM
  ibrav = 0, nat = 6, ntyp = 2
/
ATOMIC_SPECIES
Ta 180.95 Ta.upf
Sb 121.76 Sb.upf
CELL_PARAMETERS angstrom
0.000 3.952 3.952
3.952 0.000 3.952
3.952 3.952 0.000
ATOMIC_POSITIONS angstrom
Ta 2.964 4.940 2.964
Ta 2.964 2.964 4.940
Ta 4.940 2.964 2.964
Ta 4.940 4.940 4.940
Sb 0.000 0.000 0.000
Sb 1.976 1.976 1.976
! Total energy (eV/cell): -53.265
! Calculated volume (A^3/atom): 20.57
! Spin magnetization (μB/cell): 0.00



! TaSb2 | OQMD | PBE-GGA | optimized geometry; values from VASP
&SYSTEM
  ibrav = 0, nat = 6, ntyp = 2
/
ATOMIC_SPECIES
Sb 121.76 Sb.upf
Ta 180.95 Ta.upf
CELL_PARAMETERS angstrom
-4.287 -2.077 -2.646
-1.174 -3.591 -3.926
0.953 -3.924 6.957
ATOMIC_POSITIONS angstrom
Sb -2.513 -7.058 2.237
Sb -1.994 -2.533 -1.853
Ta -4.025 -8.171 -0.123
Sb -1.515 -4.178 1.257
Sb -2.992 -5.414 -0.872
Ta -0.483 -1.421 0.507
! Total energy (eV/cell): -39.688
! Calculated volume (A^3/atom): 23.78
! Spin magnetization (μB/cell): 0.00



! TaSb2 | OQMD | PBE-GGA | optimized geometry; values from VASP
&SYSTEM
  ibrav = 0, nat = 6, ntyp = 2
/
ATOMIC_SPECIES
Ta 180.95 Ta.upf
Sb 121.76 Sb.upf
CELL_PARAMETERS angstrom
-2.794 -4.113 6.922
4.676 -0.015 7.126
-2.604 4.407 6.815
ATOMIC_POSITIONS angstrom
Ta -0.180 0.070 5.216
Sb -1.572 2.309 11.231
Sb -0.271 0.105 7.824
Sb -1.668 -1.952 11.285
Sb 2.067 0.097 11.387
Ta -0.361 0.140 10.432
! Total energy (eV/cell): -35.058
! Calculated volume (A^3/atom): 72.97
! Spin magnetization (μB/cell): 0.01



! Tb2Ta2Sb | OQMD | PBE-GGA | optimized geometry; values from VASP
&SYSTEM
  ibrav = 0, nat = 10, ntyp = 3
/
ATOMIC_SPECIES
Tb 158.93 Tb.upf
Ta 180.95 Ta.upf
Sb 121.76 Sb.upf
CELL_PARAMETERS angstrom
-2.031 2.031 15.616
2.031 -2.031 15.616
2.031 2.031 -15.616
ATOMIC_POSITIONS angstrom
Tb 0.000 0.000 5.372
Ta 0.000 2.031 7.808
Ta 0.000 0.000 2.433
Tb 0.000 2.031 0.000
Ta 0.000 0.000 28.799
Tb 2.031 0.000 0.000
Sb 0.000 0.000 12.833
Ta 2.031 0.000 7.808
Sb 0.000 0.000 18.399
Tb 0.000 0.000 25.860
! Total energy (eV/cell): -69.325
! Calculated volume (A^3/atom): 25.77
! Spin magnetization (μB/cell): 0.12



! TbTaSb | OQMD | PBE-GGA | optimized geometry; values from VASP
&SYSTEM
  ibrav = 0, nat = 3, ntyp = 3
/
ATOMIC_SPECIES
Sb 121.76 Sb.upf
Tb 158.93 Tb.upf
Ta 180.95 Ta.upf
CELL_PARAMETERS angstrom
0.000 3.394 3.394
3.394 0.000 3.394
3.394 3.394 0.000
ATOMIC_POSITIONS angstrom
Sb 0.000 0.000 0.000
Tb 5.091 5.091 5.091
Ta 1.697 1.697 1.697
! Total energy (eV/cell): -19.970
! Calculated volume (A^3/atom): 26.06
! Spin magnetization (μB/cell): 0.23